(one)
PrZn9Ir2 GGA-PBE optimized geometry; SG = No. 191; total magnetization = 0.00 μB per formula unit; calculated volume = 202.5 Å³ per cell
1.0
8.726 0.000 0.000
-4.363 7.557 0.000
0.000 0.000 3.071
Pr Zn Ir
1 9 2
Cartesian
0.000 0.000 0.000 Pr
-2.181 3.778 0.000 Zn
0.000 2.853 1.536 Zn
-1.892 6.130 1.536 Zn
2.471 1.426 1.536 Zn
4.363 0.000 0.000 Zn
2.181 3.778 0.000 Zn
1.892 6.130 1.536 Zn
6.255 1.426 1.536 Zn
4.363 4.704 1.536 Zn
0.000 5.038 0.000 Ir
4.363 2.519 0.000 Ir

***

(two)
PrZn9Ir2 GGA-PBE optimized geometry; SG = No. 141; total magnetization = 0.00 μB per formula unit; calculated volume = 391.3 Å³ per cell
1.0
-5.294 5.294 3.491
5.294 -5.294 3.491
5.294 5.294 -3.491
Pr Zn Ir
2 18 4
Cartesian
5.294 2.647 0.873 Pr
0.000 2.647 2.618 Pr
5.294 -2.647 2.618 Zn
4.004 -0.455 1.275 Zn
6.584 -0.455 1.275 Zn
2.192 1.357 0.471 Zn
8.396 1.357 0.471 Zn
4.004 4.839 -1.275 Zn
1.290 -0.455 2.216 Zn
2.192 3.937 0.471 Zn
3.102 -1.357 3.962 Zn
2.192 6.651 -0.471 Zn
3.102 1.357 3.020 Zn
4.004 5.749 1.275 Zn
1.290 0.455 4.765 Zn
-3.102 3.937 3.020 Zn
3.102 3.937 3.020 Zn
-1.290 5.749 2.216 Zn
1.290 5.749 2.216 Zn
0.000 7.941 0.873 Zn
0.000 0.000 0.000 Ir
2.647 2.647 -1.745 Ir
2.647 -2.647 1.745 Ir
0.000 5.294 0.000 Ir

***

Q: Which of them is the least stable? A: (one).

***

(one)
PrZn3Ir GGA-PBE optimized geometry; SG = No. 74; total magnetization = 0.00 μB per formula unit; calculated volume = 212.0 Å³ per cell
1.0
-3.066 4.729 3.656
3.066 -4.729 3.656
3.066 4.729 -3.656
Pr Zn Ir
2 6 2
Cartesian
0.000 2.365 0.644 Pr
3.066 2.365 3.012 Pr
3.066 2.365 -0.482 Zn
1.533 4.312 -1.828 Zn
1.533 -0.418 1.828 Zn
-1.533 5.147 1.828 Zn
1.533 5.147 1.828 Zn
0.000 2.365 4.138 Zn
3.066 0.000 0.000 Ir
0.000 0.000 3.656 Ir

***

(two)
PrZn3Ir GGA-PBE optimized geometry; SG = No. 63; total magnetization = 0.00 μB per formula unit; calculated volume = 192.2 Å³ per cell
1.0
3.060 -5.563 0.000
3.060 5.563 0.000
0.000 0.000 5.644
Pr Zn Ir
2 6 2
Cartesian
3.060 2.893 4.233 Pr
3.060 -2.893 1.411 Pr
1.613 0.000 0.000 Zn
1.613 0.000 2.822 Zn
3.060 1.639 1.411 Zn
3.060 -1.639 4.233 Zn
4.508 0.000 0.000 Zn
4.508 0.000 2.822 Zn
3.060 4.135 1.411 Ir
3.060 -4.135 4.233 Ir

***

Q: Which of them is the least stable? A: (one).

***

(one)
PrZn4Ir GGA-PBE optimized geometry; SG = No. 63; total magnetization = 0.00 μB per formula unit; calculated volume = 225.4 Å³ per cell
1.0
2.402 -6.817 0.000
2.402 6.817 0.000
0.000 0.000 6.882
Pr Zn Ir
2 8 2
Cartesian
2.402 5.299 5.161 Pr
2.402 -5.299 1.720 Pr
2.402 5.396 1.720 Zn
2.402 3.042 0.512 Zn
2.402 3.042 2.929 Zn
2.402 0.000 0.000 Zn
2.402 0.000 3.441 Zn
2.402 -3.042 3.953 Zn
2.402 -3.042 6.370 Zn
2.402 -5.396 5.161 Zn
2.402 1.885 5.161 Ir
2.402 -1.885 1.720 Ir

***

(two)
PrZn4Ir GGA-PBE optimized geometry; SG = No. 216; total magnetization = 0.00 μB per formula unit; calculated volume = 100.6 Å³ per cell
1.0
0.000 3.691 3.691
3.691 0.000 3.691
3.691 3.691 0.000
Pr Zn Ir
1 4 1
Cartesian
0.000 0.000 0.000 Pr
4.602 2.780 2.780 Zn
2.780 4.602 2.780 Zn
2.780 2.780 4.602 Zn
4.602 4.602 4.602 Zn
1.845 1.845 1.845 Ir

***

Q: Which of them is the least stable? A: (one).

***

(one)
Ir2Pt GGA-PBE optimized geometry; SG = No. 123; total magnetization = 0.00 μB per formula unit; calculated volume = 54.3 Å³ per cell
1.0
4.419 0.000 0.000
0.000 4.419 0.000
0.000 0.000 2.782
Ir Pt
2 1
Cartesian
0.000 2.209 0.000 Ir
2.209 0.000 0.000 Ir
0.000 0.000 1.391 Pt

***

(two)
Ir2Pt GGA-PBE optimized geometry; SG = No. 139; total magnetization = 0.00 μB per formula unit; calculated volume = 45.7 Å³ per cell
1.0
-1.682 1.682 4.043
1.682 -1.682 4.043
1.682 1.682 -4.043
Ir Pt
2 1
Cartesian
0.000 0.000 1.379 Ir
0.000 0.000 6.706 Ir
0.000 0.000 4.043 Pt

***

(three)
Ir2Pt GGA-PBE optimized geometry; SG = No. 63; total magnetization = 0.00 μB per formula unit; calculated volume = 89.8 Å³ per cell
1.0
1.373 -7.193 0.000
1.373 7.193 0.000
0.000 0.000 4.549
Ir Pt
4 2
Cartesian
1.373 6.410 3.411 Ir
1.373 1.550 3.411 Ir
1.373 -1.550 1.137 Ir
1.373 -6.410 1.137 Ir
1.373 3.158 1.137 Pt
1.373 -3.158 3.411 Pt

***

(four)
Ir2Pt GGA-PBE optimized geometry; SG = No. 194; total magnetization = 0.00 μB per formula unit; calculated volume = 91.8 Å³ per cell
1.0
4.431 0.000 0.000
-2.216 3.838 0.000
0.000 0.000 5.401
Ir Pt
4 2
Cartesian
0.000 0.000 0.000 Ir
0.000 0.000 2.701 Ir
0.000 2.558 1.350 Ir
2.216 1.279 4.051 Ir
0.000 2.558 4.051 Pt
2.216 1.279 1.350 Pt

***

Q: Which of them is the least stable? A: (one).

***

(one)
Ir2Pt GGA-PBE optimized geometry; SG = No. 12; total magnetization = 0.00 μB per formula unit; calculated volume = 89.9 Å³ per cell
1.0
5.153 -1.373 0.000
5.153 1.373 0.000
-1.848 0.000 6.357
Ir Pt
4 2
Cartesian
-0.236 0.000 1.883 Ir
1.944 0.000 6.198 Ir
6.514 0.000 0.159 Ir
8.694 0.000 4.474 Ir
2.540 0.000 2.289 Pt
5.918 0.000 4.068 Pt

***

(two)
Ir2Pt GGA-PBE optimized geometry; SG = No. 8; total magnetization = 0.00 μB per formula unit; calculated volume = 89.9 Å³ per cell
1.0
5.141 -1.379 0.000
5.141 1.379 0.000
-1.782 0.000 6.344
Ir Pt
4 2
Cartesian
0.000 0.000 0.000 Ir
-0.533 0.000 3.892 Ir
2.257 0.000 4.226 Ir
6.174 0.000 2.155 Ir
3.466 0.000 1.792 Pt
5.722 0.000 5.978 Pt

***

(three)
Ir2Pt GGA-PBE optimized geometry; SG = No. 189; total magnetization = 0.00 μB per formula unit; calculated volume = 135.7 Å³ per cell
1.0
7.568 0.000 0.000
-3.784 6.554 0.000
0.000 0.000 2.735
Ir Pt
6 3
Cartesian
-1.157 2.003 0.000 Ir
-2.424 4.199 1.368 Ir
2.313 0.000 0.000 Ir
1.360 2.355 1.368 Ir
4.848 0.000 1.368 Ir
2.627 4.551 0.000 Ir
0.000 0.000 1.368 Pt
0.000 4.370 0.000 Pt
3.784 2.185 0.000 Pt

***

Q: Which of them is the least stable? A: (three).

***

(one)
Ir2Pt GGA-PBE optimized geometry; SG = No. 140; total magnetization = 0.00 μB per formula unit; calculated volume = 101.2 Å³ per cell
1.0
-2.555 2.555 3.874
2.555 -2.555 3.874
2.555 2.555 -3.874
Ir Pt
4 2
Cartesian
3.482 0.927 0.000 Ir
0.927 1.628 0.000 Ir
1.628 0.927 3.874 Ir
-0.927 1.628 3.874 Ir
0.000 0.000 1.937 Pt
0.000 0.000 5.811 Pt

***

(two)
Ir2Pt GGA-PBE optimized geometry; SG = No. 205; total magnetization = 0.00 μB per formula unit; calculated volume = 224.5 Å³ per cell
1.0
6.077 0.000 0.000
0.000 6.077 0.000
0.000 0.000 6.077
Ir Pt
8 4
Cartesian
0.682 0.682 0.682 Ir
0.682 2.357 3.720 Ir
2.357 3.720 0.682 Ir
2.357 5.396 3.720 Ir
3.720 0.682 2.357 Ir
3.720 2.357 5.396 Ir
5.396 3.720 2.357 Ir
5.396 5.396 5.396 Ir
0.000 0.000 3.039 Pt
0.000 3.039 0.000 Pt
3.039 0.000 0.000 Pt
3.039 3.039 3.039 Pt

***

Q: Which of them is the least stable? A: (two).

***

(one)
Ir2Pt GGA-PBE optimized geometry; SG = No. 63; total magnetization = 0.00 μB per formula unit; calculated volume = 89.8 Å³ per cell
1.0
1.383 -7.163 0.000
1.383 7.163 0.000
0.000 0.000 4.534
Ir Pt
4 2
Cartesian
1.383 6.360 3.400 Ir
1.383 3.160 1.133 Ir
1.383 -3.160 3.400 Ir
1.383 -6.360 1.133 Ir
1.383 1.591 3.400 Pt
1.383 -1.591 1.133 Pt

***

(two)
Ir2Pt GGA-PBE optimized geometry; SG = No. 164; total magnetization = 0.00 μB per formula unit; calculated volume = 44.7 Å³ per cell
1.0
2.761 0.000 0.000
-1.380 2.391 0.000
0.000 0.000 6.773
Ir Pt
2 1
Cartesian
0.000 1.594 1.082 Ir
1.380 0.797 5.691 Ir
0.000 0.000 3.387 Pt

***

Q: Which of them is the least stable? A: (one).

***

(one)
Ir2Pt GGA-PBE optimized geometry; SG = No. 139; total magnetization = 0.00 μB per formula unit; calculated volume = 44.8 Å³ per cell
1.0
-1.379 1.379 5.887
1.379 -1.379 5.887
1.379 1.379 -5.887
Ir Pt
2 1
Cartesian
0.000 0.000 2.026 Ir
0.000 0.000 9.749 Ir
0.000 0.000 5.887 Pt

***

(two)
Ir2Pt GGA-PBE optimized geometry; SG = No. 194; total magnetization = 0.00 μB per formula unit; calculated volume = 191.7 Å³ per cell
1.0
5.154 0.000 0.000
-2.577 4.464 0.000
0.000 0.000 8.332
Ir Pt
8 4
Cartesian
0.000 0.000 0.000 Ir
0.000 0.000 4.166 Ir
0.000 1.528 2.083 Ir
-1.254 3.700 2.083 Ir
1.323 0.764 6.249 Ir
1.254 3.700 2.083 Ir
3.831 0.764 6.249 Ir
2.577 2.936 6.249 Ir
0.000 2.976 4.807 Pt
0.000 2.976 7.690 Pt
2.577 1.488 0.642 Pt
2.577 1.488 3.524 Pt

***

Q: Which of them is the least stable? A: (two).

***

(one)
Ir2Pt GGA-PBE optimized geometry; SG = No. 74; total magnetization = 0.00 μB per formula unit; calculated volume = 97.9 Å³ per cell
1.0
-1.365 1.974 9.083
1.365 -1.974 9.083
1.365 1.974 -9.083
Ir Pt
4 2
Cartesian
0.000 0.987 0.809 Ir
0.000 0.987 3.468 Ir
1.365 0.987 5.615 Ir
1.365 0.987 8.273 Ir
1.365 0.987 -2.161 Pt
0.000 0.987 11.244 Pt

***

(two)
Ir2Pt GGA-PBE optimized geometry; SG = No. 63; total magnetization = 0.00 μB per formula unit; calculated volume = 89.4 Å³ per cell
1.0
1.947 -5.879 0.000
1.947 5.879 0.000
0.000 0.000 3.904
Ir Pt
4 2
Cartesian
1.947 4.857 2.928 Ir
1.947 2.928 0.976 Ir
1.947 -2.928 2.928 Ir
1.947 -4.857 0.976 Ir
1.947 0.994 2.928 Pt
1.947 -0.994 0.976 Pt

***

(three)
Ir2Pt GGA-PBE optimized geometry; SG = No. 141; total magnetization = 0.00 μB per formula unit; calculated volume = 99.6 Å³ per cell
1.0
-1.659 1.659 9.042
1.659 -1.659 9.042
1.659 1.659 -9.042
Ir Pt
4 2
Cartesian
1.659 0.830 0.954 Ir
1.659 0.830 3.567 Ir
0.000 0.830 5.475 Ir
0.000 0.830 8.089 Ir
1.659 -0.830 6.782 Pt
0.000 2.489 2.261 Pt

***

(four)
Ir2Pt GGA-PBE optimized geometry; SG = No. 62; total magnetization = 0.00 μB per formula unit; calculated volume = 178.8 Å³ per cell
1.0
5.545 0.000 0.000
0.000 3.897 0.000
0.000 0.000 8.277
Ir Pt
8 4
Cartesian
0.683 0.974 0.687 Ir
0.691 0.974 6.259 Ir
2.081 2.922 2.120 Ir
2.089 2.922 4.826 Ir
3.456 0.974 3.452 Ir
3.464 0.974 6.157 Ir
4.854 2.922 2.018 Ir
4.862 2.922 7.590 Ir
0.693 0.974 3.435 Pt
2.079 2.922 7.573 Pt
3.466 0.974 0.704 Pt
4.851 2.922 4.843 Pt

***

Q: Which of them is the least stable? A: (three).